This record from Alexandria via LeMat-Bulk describes a relaxed C2SeBr crystal. The functional is GGA-PBE.

```
8
Lattice="5.810 0.000 0.000 0.000 5.810 0.000 2.905 2.905 3.900" Properties=species:S:1:pos:R:3 pbc="T T T"
C 4.042 1.452 0.975
C 1.768 4.357 0.975
C 4.357 4.672 2.925
C 7.262 6.947 2.925
Se 2.905 2.905 0.000
Se 2.905 5.810 1.950
Br 0.000 0.000 0.000
Br 5.810 2.905 1.950
```

Properties
ΔE_f (raw) (eV per atom): 2.254
D(E_F) (states/eV/f.u.): 2.53
Energy above the lowest structure with this stoichiometry (meV per atom): 0.0

=====

This record from Alexandria via LeMat-Bulk describes a relaxed CSe3Br crystal. The functional is GGA-PBE.

```
5
Lattice="4.540 0.000 0.000 0.000 4.540 0.000 0.000 0.000 4.540" Properties=species:S:1:pos:R:3 pbc="T T T"
C 0.000 0.000 0.000
Se 0.000 2.270 0.000
Se 0.000 0.000 2.270
Se 2.270 0.000 0.000
Br 2.270 2.270 2.270
```

Properties
ΔE_f (raw) (eV per atom): 1.226
D(E_F) (states/eV/f.u.): 3.36
Energy above the lowest structure with this stoichiometry (meV per atom): 0.0

=====

This record from Alexandria via LeMat-Bulk describes a relaxed CSe3Br crystal. The functional is GGA-PBE.

```
5
Lattice="5.202 0.000 0.000 0.000 5.202 0.000 0.000 0.000 5.202" Properties=species:S:1:pos:R:3 pbc="T T T"
C 2.601 2.601 2.601
Se 0.000 2.601 0.000
Se 0.000 0.000 2.601
Se 2.601 0.000 0.000
Br 0.000 0.000 0.000
```

Properties
ΔE_f (raw) (eV per atom): 2.292
D(E_F) (states/eV/f.u.): 6.48
Energy above the lowest structure with this stoichiometry (meV per atom): 1065.8

=====

This record from Alexandria via LeMat-Bulk describes a relaxed C2SeBr crystal. The functional is GGA-PBE.

```
4
Lattice="-1.404 -3.073 2.661 -3.655 0.562 2.196 -3.493 -2.293 -1.016" Properties=species:S:1:pos:R:3 pbc="T T T"
C -2.138 -1.201 0.960
C -6.414 -3.603 2.880
Se 0.000 0.000 0.000
Br -4.276 -2.402 1.920
```

Properties
ΔE_f (raw) (eV per atom): 2.948
D(E_F) (states/eV/f.u.): 1.95
Energy above the lowest structure with this stoichiometry (meV per atom): 694.2

=====

This record from Alexandria via LeMat-Bulk describes a relaxed CSeBr crystal. The functional is GGA-PBE.

```
3
Lattice="-2.659 -1.959 0.753 0.345 -1.478 4.613 -2.614 4.703 3.033" Properties=species:S:1:pos:R:3 pbc="T T T"
C -2.019 -1.655 1.697
Se -1.246 0.081 1.322
Br -3.513 1.540 4.759
```

Properties
ΔE_f (raw) (eV per atom): 0.910
D(E_F) (states/eV/f.u.): 0.94
Energy above the lowest structure with this stoichiometry (meV per atom): 216.0

=====

This record from Alexandria via LeMat-Bulk describes a relaxed CSeBr2 crystal. The functional is GGA-PBE.

```
8
Lattice="6.944 0.000 0.000 0.000 6.944 0.000 3.472 3.472 4.904" Properties=species:S:1:pos:R:3 pbc="T T T"
C 3.472 3.472 0.000
C 3.472 6.944 2.452
Se 0.000 0.000 0.000
Se 6.944 3.472 2.452
Br 3.481 1.736 1.226
Br 3.463 5.208 1.226
Br 5.208 6.935 3.678
Br 8.680 6.953 3.678
```

Properties
ΔE_f (raw) (eV per atom): 1.444
D(E_F) (states/eV/f.u.): 2.69
Energy above the lowest structure with this stoichiometry (meV per atom): 15.2

=====

This record from Alexandria via LeMat-Bulk describes a relaxed CSeBr crystal. The functional is GGA-PBE.

```
3
Lattice="4.348 0.000 0.432 0.000 3.290 0.000 -0.125 0.000 6.203" Properties=species:S:1:pos:R:3 pbc="T T T"
C 1.072 0.000 6.126
Se 1.558 1.645 5.252
Br 0.507 0.000 1.663
```

Properties
ΔE_f (raw) (eV per atom): 0.914
D(E_F) (states/eV/f.u.): 1.00
Energy above the lowest structure with this stoichiometry (meV per atom): 219.3

=====

This record from Alexandria via LeMat-Bulk describes a relaxed CSeBr2 crystal. The functional is GGA-PBE.

```
4
Lattice="0.000 3.410 3.410 3.410 0.000 3.410 3.410 3.410 0.000" Properties=species:S:1:pos:R:3 pbc="T T T"
C 0.000 0.000 0.000
Se 3.410 3.410 3.410
Br 1.705 1.705 1.705
Br 5.115 5.115 5.115
```

Properties
ΔE_f (raw) (eV per atom): 2.054
D(E_F) (states/eV/f.u.): 4.70
Energy above the lowest structure with this stoichiometry (meV per atom): 624.8

=====

This record from Alexandria via LeMat-Bulk describes a relaxed CSeBr crystal. The functional is GGA-PBE.

```
6
Lattice="-5.655 0.426 1.510 2.627 -2.244 4.925 1.653 6.566 -1.300" Properties=species:S:1:pos:R:3 pbc="T T T"
C 1.810 0.951 2.569
C -0.366 1.662 0.378
Se 1.336 0.777 4.444
Se 0.876 2.306 1.708
Br -2.926 0.017 3.162
Br 3.923 4.203 3.400
```

Properties
ΔE_f (raw) (eV per atom): 0.768
D(E_F) (states/eV/f.u.): 0.43
Energy above the lowest structure with this stoichiometry (meV per atom): 73.9

=====

This record from Alexandria via LeMat-Bulk describes a relaxed CSeBr2 crystal. The functional is GGA-PBE.

```
4
Lattice="1.902 0.000 9.433 -0.951 1.647 9.433 -0.951 -1.647 9.433" Properties=species:S:1:pos:R:3 pbc="T T T"
C 0.000 0.000 0.000
Se 0.000 0.000 14.149
Br 0.000 0.000 26.538
Br 0.000 0.000 1.761
```

Properties
ΔE_f (raw) (eV per atom): 1.429
D(E_F) (states/eV/f.u.): 2.15
Energy above the lowest structure with this stoichiometry (meV per atom): 0.0

=====

This record from Alexandria via LeMat-Bulk describes a relaxed CSeBr crystal. The functional is GGA-PBE.

```
12
Lattice="6.074 0.000 0.000 -3.037 9.451 0.000 0.000 0.000 5.362" Properties=species:S:1:pos:R:3 pbc="T T T"
C 0.000 9.070 3.237
C 0.000 0.380 0.556
C 3.037 0.380 2.125
C 3.037 9.070 4.806
Se 1.519 1.401 1.341
Se -1.519 8.049 4.022
Se 1.519 8.049 4.022
Se 4.556 1.401 1.341
Br 3.037 4.689 2.021
Br 3.037 4.762 4.702
Br 0.000 4.762 3.341
Br 0.000 4.689 0.660
```

Properties
ΔE_f (raw) (eV per atom): 0.694
D(E_F) (states/eV/f.u.): 1.56
Energy above the lowest structure with this stoichiometry (meV per atom): 0.0

=====

This record from Alexandria via LeMat-Bulk describes a relaxed CSe4Br2 crystal. The functional is GGA-PBE.

```
28
Lattice="5.563 0.000 0.000 0.000 8.493 0.000 0.000 0.000 20.736" Properties=species:S:1:pos:R:3 pbc="T T T"
C 3.297 2.100 18.154
C 2.266 6.347 2.582
C 5.047 2.100 7.786
C 0.515 6.347 12.950
Se 2.312 1.936 16.580
Se 3.250 6.182 4.156
Se 0.469 1.936 6.212
Se 5.094 6.182 14.524
Se 2.097 4.329 16.741
Se 3.466 0.082 3.995
Se 0.685 4.329 6.373
Se 4.878 0.082 14.362
Se 3.412 3.863 18.719
Se 2.151 8.110 2.017
Se 4.932 3.863 8.351
Se 0.630 8.110 12.385
Se 4.077 0.663 19.067
Se 1.486 4.910 1.669
Se 4.267 0.663 8.699
Se 1.295 4.910 12.036
Br 4.893 2.285 0.094
Br 0.670 6.532 20.642
Br 3.451 2.285 10.461
Br 2.112 6.532 10.274
Br 3.137 7.607 17.149
Br 2.425 3.360 3.586
Br 5.206 7.607 6.781
Br 0.356 3.360 13.954
```

Properties
ΔE_f (raw) (eV per atom): 0.147

=====

Look up the ΔE_f (raw) of the fourth one. 2.948 eV per atom

=====

What is the ΔE_f (raw) in the sixth record? 1.444 eV per atom